Compound: PmPr2Dy4Mg
Source: Alexandria
Functional: GGA-PBE
Structure: optimized geometry

a = 5.002 Å, b = 5.015 Å, c = 10.245 Å
α = 90.00°, β = 90.00°, γ = 90.00°
Space group Pmmm (No. 47)
Unique sites:
Pm: 0.000 0.000 0.000 (multiplicity 1)
Pr: 0.000 0.000 0.500 (multiplicity 1)
Pr: 0.500 0.500 0.000 (multiplicity 1)
Dy: 0.000 0.500 0.253 (multiplicity 2)
Dy: 0.500 0.000 0.253 (multiplicity 2)
Mg: 0.500 0.500 0.500 (multiplicity 1)

Total moment (μB per formula unit): 0.0
Formation energy from the elements (eV/atom): 0.03